The following is a PBE+U calculation of a relaxed structure of CsMnAu2O, from Alexandria via LeMat-Bulk.

```
CsMnAu2O
1.0
4.724 0.000 0.000
0.000 4.724 0.000
0.000 0.000 5.514
Cs Mn Au O
1 1 2 1
direct
0.000 0.000 0.000 Cs
0.500 0.500 0.000 Mn
0.000 0.500 0.500 Au
0.500 0.000 0.500 Au
0.000 0.000 0.500 O
```

Values from the calculation:
Total moment (Bohr magnetons per cell): 5.28
E_tot (eV for the cell shown): -17.680